A geometry-optimized HfAg3Cl2F6 structure. Source: Alexandria via LeMat-Bulk, functional PBE.

Cell lengths 13.130, 6.860, 4.989 Å; angles 90.00, 90.21, 90.00 degrees
Space group C2/m (No. 12)
Unique sites:
Hf1 0.000 0.000 0.000 x2
Ag1 0.000 0.500 0.500 x2
Ag2 0.250 0.250 0.000 x4
Cl1 0.177 0.500 0.698 x4
F1 0.061 0.213 0.229 x8
F2 0.132 0.000 0.794 x4

## Properties
DFT total energy in eV per atom: -4.809
Formation energy (no corrections) in eV per atom: -2.023

---

A geometry-optimized CoIrCl2 structure. Source: Alexandria via LeMat-Bulk, functional PBE.

Cell lengths 5.508, 5.508, 10.265 Å; angles 90.00, 90.00, 90.00 degrees
Space group I-42d (No. 122)
Unique sites:
Co1 0.000 0.000 0.000 x4
Ir1 0.000 0.000 0.500 x4
Cl1 0.226 0.250 0.125 x8

## Properties
DFT total energy in eV per atom: -4.183
Formation energy (no corrections) in eV per atom: 0.732
Energy above the lowest structure with this stoichiometry in eV/atom: 0.645

---

A geometry-optimized ZnW2Cl structure. Source: Alexandria via LeMat-Bulk, functional PBE.

Cell lengths 2.760, 5.172, 9.161 Å; angles 90.00, 90.00, 90.00 degrees
Space group Cmmm (No. 65)
Unique sites:
Zn1 0.000 0.000 0.000 x2
W1 0.000 0.500 0.254 x4
Cl1 0.000 0.000 0.500 x2

## Properties
DFT total energy in eV per atom: -6.544
Formation energy (no corrections) in eV per atom: 0.712
Energy above the lowest structure with this stoichiometry in eV/atom: 0.406

---

A geometry-optimized SrNd2Eu structure. Source: Alexandria via LeMat-Bulk, functional PBE.

Cell lengths 3.7309, 3.7309, 40.2412 Å; angles 90.00, 90.00, 120.00 degrees
Space group R-3m (No. 166, hexagonal axes)
Unique sites:
Sr1 0.0000 0.0000 0.0000 x3
Nd1 0.0000 0.0000 0.0902 x6
Eu1 0.0000 0.0000 0.5000 x3

## Properties
DFT total energy in eV per atom: -5.144
E_form in eV/atom: 0.229
Energy above the lowest structure with this stoichiometry in eV/atom: 0.093

---

no.,size of the total moment (μB per formula unit)
1,0.0
2,3.7
3,0.0
4,8.1